{
  "formula": "LiSi2Se",
  "functional": "GGA-PBEsol",
  "state": "optimized geometry",
  "total_energy_ev_per_atom": -4.260,
  "raw_formation_energy_ev_per_atom": 0.068,
  "lattice_angstrom": [[2.881, 0.000, 0.000], [1.441, 2.495, 0.000], [1.441, 0.832, 9.502]],
  "species": ["Si", "Si", "Se", "Li"],
  "frac_coords": [[0.982, 0.982, 0.054], [0.247, 0.247, 0.259], [0.768, 0.768, 0.697], [0.503, 0.503, 0.490]]
}